VASP calculation (PBE) on CrMoCl2 after structural relaxation.

* total moment: 1.307 μB per cell
* formation energy from raw total energies: 0.81 eV/f.u.
* symmetry: Imm2, No. 44

The structure in CIF format:
```
data_CrMoCl2
_chemical_formula_sum 'Cr1 Mo1 Cl2'
_cell_length_a 6.4305
_cell_length_b 6.4305
_cell_length_c 6.4305
_cell_angle_alpha 150.84
_cell_angle_beta 138.51
_cell_angle_gamma 51.51
_space_group_name_H-M_alt 'P 1'
_space_group_IT_number 1
loop_
_space_group_symop_operation_xyz
'x,y,z'
loop_
_atom_site_label
_atom_site_fract_x
_atom_site_fract_y
_atom_site_fract_z
Cl1 0.6803 0.1803 0.5000
Cl2 0.9445 0.9445 0.0000
Mo1 0.3621 0.8621 0.5000
Cr1 0.5132 0.5132 0.0000
```

***

VASP calculation (PBE) on BeZn2Ag2 after structural relaxation.

* total moment: 0.000 μB per cell
* symmetry: P4/mbm, No. 127
* energy of formation: 0.22 eV per atom

The structure in CIF format:
```
data_BeZn2Ag2
_chemical_formula_sum 'Be2 Zn4 Ag4'
_cell_length_a 6.0883
_cell_length_b 6.0883
_cell_length_c 4.1634
_cell_angle_alpha 90.00
_cell_angle_beta 90.00
_cell_angle_gamma 90.00
_space_group_name_H-M_alt 'P 1'
_space_group_IT_number 1
loop_
_space_group_symop_operation_xyz
'x,y,z'
loop_
_atom_site_label
_atom_site_fract_x
_atom_site_fract_y
_atom_site_fract_z
Zn1 0.8518 0.6482 0.0000
Zn2 0.6482 0.1482 0.0000
Zn3 0.1482 0.3518 0.0000
Zn4 0.3518 0.8518 0.0000
Ag1 0.8324 0.3324 0.5000
Ag2 0.6676 0.8324 0.5000
Ag3 0.3324 0.1676 0.5000
Ag4 0.1676 0.6676 0.5000
Be1 0.0000 0.0000 0.0000
Be2 0.5000 0.5000 0.0000
```

***

VASP calculation (PBE) on Cs2NaSnI6 after structural relaxation.

* total moment: 0.000 μB per cell
* formation energy from raw total energies: -10.23 eV/f.u.
* symmetry: R-3m, No. 166

The structure in CIF format:
```
data_Cs2NaSnI6
_chemical_formula_sum 'Cs4 Na2 Sn2 I12'
_cell_length_a 8.5670
_cell_length_b 8.5670
_cell_length_c 15.8755
_cell_angle_alpha 74.35
_cell_angle_beta 74.35
_cell_angle_gamma 60.00
_space_group_name_H-M_alt 'P 1'
_space_group_IT_number 1
loop_
_space_group_symop_operation_xyz
'x,y,z'
loop_
_atom_site_label
_atom_site_fract_x
_atom_site_fract_y
_atom_site_fract_z
I1 0.8709 0.3709 0.3873
I2 0.7933 0.7933 0.1210
I3 0.3709 0.3709 0.3873
I4 0.7933 0.2925 0.1210
I5 0.2067 0.7075 0.8790
I6 0.2925 0.7933 0.1210
I7 0.3709 0.8709 0.3873
I8 0.2067 0.2067 0.8790
I9 0.7075 0.2067 0.8790
I10 0.6291 0.6291 0.6127
I11 0.6291 0.1291 0.6127
I12 0.1291 0.6291 0.6127
Na1 0.5830 0.5830 0.2509
Na2 0.4170 0.4170 0.7491
Sn1 0.5000 0.5000 0.5000
Sn2 0.0000 0.0000 0.0000
Cs1 0.1186 0.1186 0.6442
Cs2 0.6967 0.6967 0.9099
Cs3 0.3033 0.3033 0.0901
Cs4 0.8814 0.8814 0.3558
```

***

VASP calculation (PBE) on NpU4N10 after structural relaxation.

* total moment: 1.097 μB per cell
* formation energy from raw total energies: -18.97 eV/f.u.
* symmetry: I4/m, No. 87

The structure in CIF format:
```
data_NpU4N10
_chemical_formula_sum 'Np1 U4 N10'
_cell_length_a 5.2681
_cell_length_b 6.4518
_cell_length_c 6.4518
_cell_angle_alpha 80.41
_cell_angle_beta 65.90
_cell_angle_gamma 65.90
_space_group_name_H-M_alt 'P 1'
_space_group_IT_number 1
loop_
_space_group_symop_operation_xyz
'x,y,z'
loop_
_atom_site_label
_atom_site_fract_x
_atom_site_fract_y
_atom_site_fract_z
N1 0.3486 0.7012 0.0988
N2 0.8514 0.7012 0.0988
N3 0.4474 0.9012 0.7012
N4 0.6514 0.2988 0.9012
N5 0.9502 0.9012 0.7012
N6 0.0498 0.0988 0.2988
N7 0.2500 0.5000 0.5000
N8 0.7500 0.5000 0.5000
N9 0.5526 0.0988 0.2988
N10 0.1486 0.2988 0.9012
U1 0.7998 0.6001 0.8003
U2 0.3999 0.8003 0.3999
U3 0.2002 0.3999 0.1997
U4 0.6001 0.1997 0.6001
Np1 0.0000 0.0000 0.0000
```

***

VASP calculation (PBE) on NaTb2TmSe4 after structural relaxation.

* total moment: 0.000 μB per cell
* formation energy from raw total energies: -13.74 eV/f.u.
* symmetry: P2/m, No. 10

The structure in CIF format:
```
data_NaTb2TmSe4
_chemical_formula_sum 'Na1 Tb2 Tm1 Se4'
_cell_length_a 4.0646
_cell_length_b 7.1073
_cell_length_c 7.1013
_cell_angle_alpha 71.03
_cell_angle_beta 90.00
_cell_angle_gamma 90.00
_space_group_name_H-M_alt 'P 1'
_space_group_IT_number 1
loop_
_space_group_symop_operation_xyz
'x,y,z'
loop_
_atom_site_label
_atom_site_fract_x
_atom_site_fract_y
_atom_site_fract_z
Se1 0.0000 0.2503 0.2545
Se2 0.0000 0.7497 0.7455
Se3 0.5000 0.7441 0.2539
Se4 0.5000 0.2559 0.7461
Tb1 0.5000 0.0000 0.5000
Tb2 0.0000 0.0000 0.0000
Tm1 0.0000 0.5000 0.5000
Na1 0.5000 0.5000 0.0000
```

***

VASP calculation (PBE) on BaCuOs2 after structural relaxation.

* total moment: 0.373 μB per cell
* symmetry: Pmmm, No. 47
* energy of formation: 1.20 eV per atom

The structure in CIF format:
```
data_BaCuOs2
_chemical_formula_sum 'Ba1 Cu1 Os2'
_cell_length_a 2.9537
_cell_length_b 4.7782
_cell_length_c 5.3555
_cell_angle_alpha 90.00
_cell_angle_beta 90.00
_cell_angle_gamma 90.00
_space_group_name_H-M_alt 'P 1'
_space_group_IT_number 1
loop_
_space_group_symop_operation_xyz
'x,y,z'
loop_
_atom_site_label
_atom_site_fract_x
_atom_site_fract_y
_atom_site_fract_z
Cu1 0.0000 0.5000 0.5000
Os1 0.5000 0.5000 0.0000
Os2 0.0000 0.0000 0.0000
Ba1 0.5000 0.0000 0.5000
```

***

VASP calculation (PBE) on CsNb2HgF after structural relaxation.

* total moment: 2.805 μB per cell
* formation energy from raw total energies: 2.64 eV/f.u.
* symmetry: P4/mmm, No. 123

The structure in CIF format:
```
data_CsNb2HgF
_chemical_formula_sum 'Cs1 Nb2 Hg1 F1'
_cell_length_a 4.5556
_cell_length_b 5.5963
_cell_length_c 4.5556
_cell_angle_alpha 90.00
_cell_angle_beta 90.00
_cell_angle_gamma 90.00
_space_group_name_H-M_alt 'P 1'
_space_group_IT_number 1
loop_
_space_group_symop_operation_xyz
'x,y,z'
loop_
_atom_site_label
_atom_site_fract_x
_atom_site_fract_y
_atom_site_fract_z
F1 0.0000 0.0000 0.0000
Hg1 0.5000 0.5000 0.5000
Nb1 0.0000 0.0000 0.5000
Nb2 0.5000 0.0000 0.0000
Cs1 0.0000 0.5000 0.0000
```

***

VASP calculation (PBE) on K2Cd4Hg3Au after structural relaxation.

* total moment: 0.000 μB per cell
* symmetry: P-4m2, No. 115
* energy of formation: -0.16 eV per atom

The structure in CIF format:
```
data_K2Cd4Hg3Au
_chemical_formula_sum 'K2 Cd4 Hg3 Au1'
_cell_length_a 4.9359
_cell_length_b 4.9359
_cell_length_c 12.1245
_cell_angle_alpha 90.00
_cell_angle_beta 90.00
_cell_angle_gamma 90.00
_space_group_name_H-M_alt 'P 1'
_space_group_IT_number 1
loop_
_space_group_symop_operation_xyz
'x,y,z'
loop_
_atom_site_label
_atom_site_fract_x
_atom_site_fract_y
_atom_site_fract_z
Hg1 0.5000 0.0000 0.8607
Hg2 0.0000 0.0000 0.5000
Hg3 0.0000 0.5000 0.1393
Cd1 0.0000 0.0000 0.0000
Cd2 0.5000 0.5000 0.0000
Cd3 0.5000 0.0000 0.6232
Cd4 0.0000 0.5000 0.3768
K1 0.0000 0.5000 0.7365
K2 0.5000 0.0000 0.2635
Au1 0.5000 0.5000 0.5000
```

***

VASP calculation (PBE) on KTl2IrO4 after structural relaxation.

* total moment: 2.003 μB per cell
* formation energy from raw total energies: -6.36 eV/f.u.
* symmetry: I-4, No. 82

The structure in CIF format:
```
data_KTl2IrO4
_chemical_formula_sum 'K1 Tl2 Ir1 O4'
_cell_length_a 5.8420
_cell_length_b 5.8420
_cell_length_c 5.8420
_cell_angle_alpha 104.51
_cell_angle_beta 112.01
_cell_angle_gamma 112.01
_space_group_name_H-M_alt 'P 1'
_space_group_IT_number 1
loop_
_space_group_symop_operation_xyz
'x,y,z'
loop_
_atom_site_label
_atom_site_fract_x
_atom_site_fract_y
_atom_site_fract_z
O1 0.0182 0.7097 0.3031
O2 0.9818 0.2849 0.6915
O3 0.4066 0.6969 0.7151
O4 0.5934 0.3085 0.2903
Tl1 0.0000 0.0000 0.0000
Tl2 0.5000 0.7500 0.2500
Ir1 0.0000 0.5000 0.5000
K1 0.5000 0.2500 0.7500
```

***

VASP calculation (PBE) on CsY3Hf after structural relaxation.

* total moment: 0.000 μB per cell
* symmetry: Pm-3m, No. 221
* energy of formation: 0.73 eV per atom

The structure in CIF format:
```
data_CsY3Hf
_chemical_formula_sum 'Cs1 Y3 Hf1'
_cell_length_a 5.9026
_cell_length_b 5.9026
_cell_length_c 5.9026
_cell_angle_alpha 90.00
_cell_angle_beta 90.00
_cell_angle_gamma 90.00
_space_group_name_H-M_alt 'P 1'
_space_group_IT_number 1
loop_
_space_group_symop_operation_xyz
'x,y,z'
loop_
_atom_site_label
_atom_site_fract_x
_atom_site_fract_y
_atom_site_fract_z
Y1 0.0000 0.0000 0.5000
Y2 0.0000 0.5000 0.0000
Y3 0.5000 0.0000 0.0000
Cs1 0.5000 0.5000 0.5000
Hf1 0.0000 0.0000 0.0000
```

***

VASP calculation (PBE) on YIn4Ni2 after structural relaxation.

* total moment: 0.000 μB per cell
* symmetry: Pnma, No. 62
* energy of formation: -0.30 eV per atom

The structure in CIF format:
```
data_YIn4Ni2
_chemical_formula_sum 'Y4 In16 Ni8'
_cell_length_a 4.4229
_cell_length_b 7.0273
_cell_length_c 18.1520
_cell_angle_alpha 90.00
_cell_angle_beta 90.00
_cell_angle_gamma 90.00
_space_group_name_H-M_alt 'P 1'
_space_group_IT_number 1
loop_
_space_group_symop_operation_xyz
'x,y,z'
loop_
_atom_site_label
_atom_site_fract_x
_atom_site_fract_y
_atom_site_fract_z
Ni1 0.7500 0.4624 0.7168
Ni2 0.2500 0.5376 0.2832
Ni3 0.7500 0.2428 0.4579
Ni4 0.2500 0.9624 0.7832
Ni5 0.2500 0.7572 0.5421
Ni6 0.7500 0.2572 0.9579
Ni7 0.2500 0.7428 0.0421
Ni8 0.7500 0.0376 0.2168
In1 0.2500 0.8259 0.1854
In2 0.7500 0.0058 0.0708
In3 0.7500 0.8537 0.4680
In4 0.7500 0.3259 0.3146
In5 0.2500 0.9942 0.9292
In6 0.7500 0.4942 0.5708
In7 0.7500 0.6463 0.9680
In8 0.7500 0.7410 0.3052
In9 0.2500 0.6741 0.6854
In10 0.2500 0.3537 0.0320
In11 0.2500 0.5058 0.4292
In12 0.2500 0.2410 0.1948
In13 0.7500 0.7590 0.8052
In14 0.2500 0.1463 0.5320
In15 0.2500 0.2590 0.6948
In16 0.7500 0.1741 0.8146
Y1 0.2500 0.0286 0.3588
Y2 0.7500 0.5286 0.1412
Y3 0.7500 0.9714 0.6412
Y4 0.2500 0.4714 0.8588
```

***

VASP calculation (PBE) on Bi3Pd7Pb2 after structural relaxation.

* total moment: 0.000 μB per cell
* symmetry: P2/m, No. 10
* energy of formation: -0.19 eV per atom

The structure in CIF format:
```
data_Bi3Pd7Pb2
_chemical_formula_sum 'Bi3 Pd7 Pb2'
_cell_length_a 3.9004
_cell_length_b 4.2108
_cell_length_c 15.9166
_cell_angle_alpha 97.61
_cell_angle_beta 90.00
_cell_angle_gamma 90.00
_space_group_name_H-M_alt 'P 1'
_space_group_IT_number 1
loop_
_space_group_symop_operation_xyz
'x,y,z'
loop_
_atom_site_label
_atom_site_fract_x
_atom_site_fract_y
_atom_site_fract_z
Pb1 0.5000 0.3692 0.7393
Pb2 0.5000 0.6308 0.2607
Bi1 0.0000 0.2039 0.4084
Bi2 0.0000 0.7961 0.5916
Bi3 0.5000 0.5000 0.0000
Pd1 0.5000 0.9289 0.8602
Pd2 0.0000 0.0000 0.0000
Pd3 0.5000 0.0711 0.1398
Pd4 0.5000 0.2799 0.5590
Pd5 0.5000 0.7201 0.4410
Pd6 0.0000 0.4319 0.8674
Pd7 0.0000 0.5681 0.1326
```